# 1
Computed, not measured: a relaxed structure of CuBSe2 at the PBE level of DFT.

a = 7.6634 Å, b = 7.6634 Å, c = 8.0909 Å
α = 90.00°, β = 90.00°, γ = 154.44°
Atoms (fractional coordinates):
1 Se 0.9095 0.0905 0.2500
2 Se 0.2118 0.7882 0.2500
3 Se 0.7882 0.2118 0.7500
4 Se 0.0905 0.9095 0.7500
5 B 0.6656 0.3344 0.7500
6 B 0.3344 0.6656 0.2500
7 Cu 0.0613 0.9387 0.2500
8 Cu 0.9387 0.0613 0.7500

Output
The calculation puts the total energy at -4.07 eV per atom. For the raw formation energy, the calculation gives 0.362 eV/atom. Its space-group type is Cmcm.

---

# 2
Computed, not measured: a relaxed structure of CdGe2SbO6 at the PBE level of DFT.

a = 6.0143 Å, b = 7.1031 Å, c = 7.1031 Å
α = 82.23°, β = 77.61°, γ = 77.61°
Atoms (fractional coordinates):
1 Ge 0.2535 0.8035 0.6235
2 Ge 0.2465 0.3765 0.1965
3 Ge 0.7465 0.1965 0.3765
4 Ge 0.7535 0.6235 0.8035
5 Cd 0.7500 0.1006 0.8994
6 Cd 0.2500 0.8994 0.1006
7 O 0.4798 0.6233 0.7234
8 O 0.5202 0.3767 0.2766
9 O 0.3385 0.2205 0.9917
10 O 0.3858 0.8756 0.3799
11 O 0.1615 0.0083 0.7795
12 O 0.8858 0.3799 0.8756
13 O 0.8385 0.9917 0.2205
14 O 0.0202 0.2766 0.3767
15 O 0.9798 0.7234 0.6233
16 O 0.6615 0.7795 0.0083
17 O 0.1142 0.6201 0.1244
18 O 0.6142 0.1244 0.6201
19 Sb 0.7500 0.7133 0.2867
20 Sb 0.2500 0.2867 0.7133

Output
The calculation puts the total energy at -5.72 eV per atom. For the raw formation energy, the calculation gives -1.314 eV/atom. Its space-group type is C2/c.